1.
This record from Alexandria describes a relaxed structure of Rb2MgAg2F6. The functional is PBE.

uncorrected formation energy	-24.8	eV per formula unit
space group	R-3m
spin magnetization	0.00	Bohr magnetons per cell

```
Rb2MgAg2F6
1.0
3.2952 1.9025 5.6001
-3.2952 1.9025 5.6001
0.0000 -3.8050 5.6001
Rb Mg Ag F
2 1 2 6
Cartesian
0.0000 0.0000 3.6015
0.0000 0.0000 13.1988
0.0000 0.0000 0.0000
0.0000 0.0000 6.9754
0.0000 0.0000 9.8249
-1.9204 -1.1087 9.9403
0.0000 -2.2175 6.8600
-1.9204 1.1087 6.8600
1.9204 -1.1087 9.9403
0.0000 2.2175 9.9403
1.9204 1.1087 6.8600
```

2.
This record from Alexandria describes a relaxed structure of Rb2Mg2AgF7. The functional is PBE.

uncorrected formation energy	-34.2	eV per formula unit
space group	C2/m
spin magnetization	0.21	Bohr magnetons per cell

```
Rb2Mg2AgF7
1.0
2.8701 -2.8700 0.0000
2.8701 2.8700 0.0000
-2.8592 0.0000 11.0037
Rb Mg Ag F
2 2 1 7
Cartesian
-0.0023 0.0000 4.0663
2.8833 0.0000 6.9374
0.0142 0.0000 9.0235
2.8668 0.0000 1.9803
0.0000 0.0000 0.0000
1.4313 1.4346 1.9629
0.0141 0.0000 6.9858
1.4497 1.4346 9.0408
2.8701 0.0000 0.0000
1.4313 -1.4346 1.9629
2.8669 0.0000 4.0179
1.4497 -1.4346 9.0408
```

3.
This record from Alexandria describes a relaxed structure of RbMgAgF2. The functional is PBE.

uncorrected formation energy	-8.5	eV per formula unit
space group	P4/mmm
spin magnetization	0.00	Bohr magnetons per cell

```
RbMgAgF2
1.0
4.3358 0.0000 0.0000
0.0000 4.3358 0.0000
0.0000 0.0000 5.5736
Rb Mg Ag F
1 1 1 2
Cartesian
0.0000 0.0000 0.0000
2.1679 2.1679 2.7868
2.1679 2.1679 0.0000
0.0000 2.1679 2.7868
2.1679 0.0000 2.7868
```

4.
This record from Alexandria describes a relaxed structure of MgAgRhF6. The functional is PBE.

uncorrected formation energy	-18.7	eV per formula unit
space group	P-31c
spin magnetization	0.00	Bohr magnetons per cell

```
MgAgRhF6
1.0
5.3516 0.0000 0.0000
-2.6758 4.6347 0.0000
0.0000 0.0000 10.5185
Mg Ag Rh F
2 2 2 12
Cartesian
0.0000 3.0898 2.6296
2.6758 1.5449 7.8889
0.0000 0.0000 0.0000
0.0000 0.0000 5.2593
0.0000 3.0898 7.8889
2.6758 1.5449 2.6296
-0.9624 1.6746 6.8080
-1.7068 2.9638 8.9698
1.9315 0.0038 1.5487
0.9691 1.6708 3.7105
0.9624 1.6746 8.9698
-0.7443 4.6308 6.8080
3.4201 0.0038 3.7105
1.7134 2.9600 1.5487
1.7068 2.9638 6.8080
0.7443 4.6308 8.9698
4.3826 1.6708 1.5487
3.6383 2.9600 3.7105
```

Calculated density (computed, g cm⁻³): 4.14 4.22 4.05 4.44